[1]
This record from Alexandria via LeMat-Bulk describes a relaxed structure of GaTeH. The functional is GGA-PBEsol.

Output
total DFT energy (no corrections): -10.73 eV per formula unit
mass density: 4.3 g cm⁻³

Unit cell a=4.041 b=4.041 c=10.717 alpha=91.23 beta=90.36 gamma=119.99
Positions (direct):
Ga 0.000 0.000 0.000
Ga 0.014 0.019 0.226
Te 0.660 0.323 0.881
Te 0.687 0.363 0.345
H 0.051 0.056 0.640
H 0.962 0.919 0.584


[2]
This record from Alexandria via LeMat-Bulk describes a relaxed structure of Cs3TiO. The functional is GGA-PBEsol.

Output
total DFT energy (no corrections): -11.31 eV per formula unit
mass density: 3.3 g cm⁻³
raw formation energy: 98.3 kJ per mole of atoms

Unit cell a=6.176 b=6.176 c=6.176 alpha=90.00 beta=90.00 gamma=90.00
Positions (direct):
Cs 0.000 0.000 0.500
Cs 0.000 0.500 0.000
Cs 0.500 0.000 0.000
Ti 0.000 0.000 0.000
O 0.500 0.500 0.500


[3]
This record from Alexandria via LeMat-Bulk describes a relaxed structure of KNaY2Cd. The functional is GGA-PBEsol.

Output
total DFT energy (no corrections): -12.61 eV per formula unit
energy of formation from the pure elements: 0.95 eV per atom
mass density: 3.2 g cm⁻³

Unit cell a=5.768 b=5.768 c=5.547 alpha=90.00 beta=90.00 gamma=90.00
Positions (direct):
K 0.000 0.000 0.000
Na 0.000 0.000 0.500
Y 0.000 0.500 0.500
Y 0.500 0.000 0.500
Cd 0.500 0.500 0.000


[4]
This record from Alexandria via LeMat-Bulk describes a relaxed structure of SrOsSe2. The functional is GGA-PBEsol.

Output
total DFT energy (no corrections): -23.54 eV per formula unit
polymorph energy (0 for the lowest one): 0 meV per atom
mass density: 7.6 g cm⁻³
raw formation energy: -43.1 kJ per mole of atoms

Unit cell a=5.257 b=5.257 c=5.470 alpha=110.05 beta=110.05 gamma=42.60
Positions (direct):
Sr 0.000 0.000 0.000
Os 0.236 0.236 0.580
Se 0.650 0.650 0.748
Se 0.815 0.815 0.377